A geometry-optimized KCdIn structure. Source: Alexandria via LeMat-Bulk, functional PBE.

N(E_F): 0.16 states/eV/atom
energy of formation: -0.051 eV/atom
crystal system: tetragonal

a b c (Å): 6.958 6.959 3.966
angles (deg): 73.43 73.45 33.11
Atoms (fractional coordinates):
K1 0.666 0.666 0.334
Cd1 0.966 0.966 0.034
In1 0.368 0.368 0.632

=====

A geometry-optimized Y2ZrAlO structure. Source: Alexandria via LeMat-Bulk, functional PBE.

N(E_F): 0.69 states/eV/atom
crystal system: tetragonal
formation energy from raw total energies: -1.262 eV per atom

a b c (Å): 4.765 4.765 4.434
angles (deg): 90.00 90.00 90.00
Atoms (fractional coordinates):
Al1 0.500 0.500 0.500
Y1 0.500 0.000 0.000
Y2 0.000 0.500 0.000
Zr1 0.000 0.000 0.500
O1 0.000 0.000 0.000

=====

A geometry-optimized CuCS structure. Source: Alexandria via LeMat-Bulk, functional PBE.

N(E_F): 0.42 states/eV/atom
crystal system: tetragonal
formation energy from raw total energies: 1.304 eV per atom

a b c (Å): 3.593 3.593 6.716
angles (deg): 90.00 90.00 90.00
Atoms (fractional coordinates):
S1 0.500 0.000 0.217
S2 0.000 0.500 0.783
Cu1 0.500 0.500 0.000
Cu2 0.000 0.000 0.000
C1 0.500 0.000 0.470
C2 0.000 0.500 0.530

=====

A geometry-optimized AgGeAs3 structure. Source: Alexandria via LeMat-Bulk, functional PBE.

N(E_F): 0.82 states/eV/atom
energy of formation: 0.851 eV/atom
crystal system: cubic

a b c (Å): 4.951 4.951 4.951
angles (deg): 90.00 90.00 90.00
Atoms (fractional coordinates):
As1 0.000 0.500 0.000
As2 0.000 0.000 0.500
As3 0.500 0.000 0.000
Ge1 0.000 0.000 0.000
Ag1 0.500 0.500 0.500

=====

A geometry-optimized Ce3B2Pt9Rh structure. Source: Alexandria via LeMat-Bulk, functional PBE.

N(E_F): 1.20 states/eV/atom
energy of formation: -0.703 eV/atom
crystal system: trigonal

a b c (Å): 5.687 5.687 9.733
angles (deg): 90.00 90.00 120.00
Atoms (fractional coordinates):
Pt1 0.164 0.328 0.280
Pt2 0.836 0.672 0.720
Pt3 0.328 0.164 0.720
Pt4 0.164 0.836 0.280
Pt5 0.000 0.500 0.000
Pt6 0.500 0.500 0.000
Pt7 0.500 0.000 0.000
Pt8 0.836 0.164 0.720
Pt9 0.672 0.836 0.280
Rh1 0.000 0.000 0.500
Ce1 0.333 0.667 0.594
Ce2 0.000 0.000 0.000
Ce3 0.667 0.333 0.406
B1 0.667 0.333 0.853
B2 0.333 0.667 0.147

=====

A geometry-optimized NaCu4Ge structure. Source: Alexandria via LeMat-Bulk, functional PBE.

N(E_F): 0.83 states/eV/atom
energy of formation: 0.093 eV/atom
crystal system: cubic

a b c (Å): 4.983 4.983 4.983
angles (deg): 60.00 60.00 60.00
Atoms (fractional coordinates):
Cu1 0.625 0.625 0.125
Cu2 0.625 0.125 0.625
Cu3 0.625 0.625 0.625
Cu4 0.125 0.625 0.625
Ge1 0.250 0.250 0.250
Na1 0.000 0.000 0.000